# 1
# Y7CuS5, relaxed, DFT GGA-PBE
# Total DFT energy (no corrections) = -0.2563 hartree per atom
# Formation energy from raw total energies = -1.59 eV/atom
# ρ = 4775 kg/m3
# N(E_F) = 0.59 states/eV/atom
# Total moment = 0.0 μB/f.u.
data_Y7CuS5
_space_group_name_H-M_alt 'P 1 21/m 1'
_space_group_IT_number 11
_space_group_name_Hall '-P 2yb'
_cell_length_a 3.897
_cell_length_b 23.491
_cell_length_c 6.715
_cell_angle_alpha 90.00
_cell_angle_beta 106.77
_cell_angle_gamma 90.00
loop_
_atom_site_label
_atom_site_fract_x
_atom_site_fract_y
_atom_site_fract_z
Y1 0.039 0.250 0.074
Y2 0.136 0.537 0.274
Y3 0.314 0.177 0.626
Y4 0.410 0.609 0.823
Cu1 0.294 0.750 0.593
S1 0.047 0.642 0.097
S2 0.226 0.071 0.450
S3 0.500 0.000 0.000

# 2
# Sr3Ca2Tl4, relaxed, DFT GGA-PBE
# Total DFT energy (no corrections) = -0.0890 hartree per atom
# ρ = 6287 kg/m3
# N(E_F) = 0.65 states/eV/atom
# Calculated formation energy = -364 meV/atom
# Total moment = 0.0 μB/f.u.
data_Sr3Ca2Tl4
_space_group_name_H-M_alt 'C 1 2/m 1'
_space_group_IT_number 12
_space_group_name_Hall '-C 2y'
_cell_length_a 9.837
_cell_length_b 5.676
_cell_length_c 10.980
_cell_angle_alpha 90.00
_cell_angle_beta 90.02
_cell_angle_gamma 90.00
loop_
_atom_site_label
_atom_site_fract_x
_atom_site_fract_y
_atom_site_fract_z
Sr1 0.000 0.000 0.000
Sr2 0.166 0.500 0.591
Ca1 0.167 0.500 0.207
Tl1 0.001 0.000 0.334
Tl2 0.167 0.500 0.898

# 3
# AcLa4PmHo2, relaxed, DFT GGA-PBE
# Total DFT energy (no corrections) = -0.1722 hartree per atom
# ρ = 7228 kg/m3
# N(E_F) = 1.70 states/eV/atom
# Calculated formation energy = 31 meV/atom
# Total moment = 0.0 μB/f.u.
data_AcLa4PmHo2
_space_group_name_H-M_alt 'C 1 2/m 1'
_space_group_IT_number 12
_space_group_name_Hall '-C 2y'
_cell_length_a 11.688
_cell_length_b 5.255
_cell_length_c 10.554
_cell_angle_alpha 90.00
_cell_angle_beta 116.96
_cell_angle_gamma 90.00
loop_
_atom_site_label
_atom_site_fract_x
_atom_site_fract_y
_atom_site_fract_z
Ac1 0.000 0.000 0.000
La1 0.247 0.000 0.870
La2 0.249 0.500 0.623
Pm1 0.000 0.000 0.500
Ho1 0.001 0.500 0.745

# 4
# LiMnNi2, relaxed, DFT GGA-PBE
# Total DFT energy (no corrections) = -0.1960 hartree per atom
# ρ = 5935 kg/m3
# N(E_F) = 0.64 states/eV/atom
# Calculated formation energy = 327 meV/atom
# Total moment = 4.3 μB/f.u.
data_LiMnNi2
_space_group_name_H-M_alt 'I -4 2 d'
_space_group_IT_number 122
_space_group_name_Hall 'I -4 2bw'
_cell_length_a 6.358
_cell_length_b 6.358
_cell_length_c 4.963
_cell_angle_alpha 90.00
_cell_angle_beta 90.00
_cell_angle_gamma 90.00
loop_
_atom_site_label
_atom_site_fract_x
_atom_site_fract_y
_atom_site_fract_z
Li1 0.000 0.000 0.000
Mn1 0.000 0.000 0.500
Ni1 0.246 0.250 0.125

# 5
# LaNd2Nb, relaxed, DFT GGA-PBE
# Total DFT energy (no corrections) = -0.2029 hartree per atom
# ρ = 7247 kg/m3
# N(E_F) = 1.96 states/eV/atom
# Calculated formation energy = 611 meV/atom
# Total moment = 0.0 μB/f.u.
data_LaNd2Nb
_space_group_name_H-M_alt 'R -3 m'
_space_group_IT_number 166
_space_group_name_Hall '-R 3 2"'
_cell_length_a 3.3650
_cell_length_b 3.3650
_cell_length_c 36.4737
_cell_angle_alpha 90.00
_cell_angle_beta 90.00
_cell_angle_gamma 120.00
loop_
_atom_site_label
_atom_site_fract_x
_atom_site_fract_y
_atom_site_fract_z
La1 0.0000 0.0000 0.0000
Nd1 0.0000 0.0000 0.4202
Nb1 0.0000 0.0000 0.5000

# 6
# TeMoPt2, relaxed, DFT GGA-PBE
# Total DFT energy (no corrections) = -0.2350 hartree per atom
# Formation energy from raw total energies = 0.12 eV/atom
# ρ = 14295 kg/m3
# N(E_F) = 0.62 states/eV/atom
# Total moment = 0.0 μB/f.u.
data_TeMoPt2
_space_group_name_H-M_alt 'C 1 m 1'
_space_group_IT_number 8
_space_group_name_Hall 'C -2y'
_cell_length_a 9.080
_cell_length_b 3.003
_cell_length_c 5.319
_cell_angle_alpha 90.00
_cell_angle_beta 100.52
_cell_angle_gamma 90.00
loop_
_atom_site_label
_atom_site_fract_x
_atom_site_fract_y
_atom_site_fract_z
Te1 0.000 0.000 0.000
Mo1 0.236 0.500 0.289
Pt1 0.231 0.000 0.728
Pt2 0.478 0.000 0.488

# 7
# Ba2SrSi, relaxed, DFT GGA-PBE
# Total DFT energy (no corrections) = -0.0988 hartree per atom
# Formation energy from raw total energies = 0.05 eV/atom
# ρ = 4281 kg/m3
# N(E_F) = 0.70 states/eV/atom
# Total moment = 0.0 μB/f.u.
data_Ba2SrSi
_space_group_name_H-M_alt 'I 4/m m m'
_space_group_IT_number 139
_space_group_name_Hall '-I 4 2'
_cell_length_a 5.333
_cell_length_b 5.333
_cell_length_c 10.647
_cell_angle_alpha 90.00
_cell_angle_beta 90.00
_cell_angle_gamma 90.00
loop_
_atom_site_label
_atom_site_fract_x
_atom_site_fract_y
_atom_site_fract_z
Ba1 0.000 0.500 0.250
Sr1 0.000 0.000 0.000
Si1 0.000 0.000 0.500

# 8
# Ba2SiHg2Au4, relaxed, DFT GGA-PBE
# Total DFT energy (no corrections) = -0.1095 hartree per atom
# Formation energy from raw total energies = -0.43 eV/atom
# ρ = 10509 kg/m3
# N(E_F) = 0.49 states/eV/atom
# Total moment = 0.0 μB/f.u.
data_Ba2SiHg2Au4
_space_group_name_H-M_alt 'I 4/m m m'
_space_group_IT_number 139
_space_group_name_Hall '-I 4 2'
_cell_length_a 7.126
_cell_length_b 7.126
_cell_length_c 9.284
_cell_angle_alpha 90.00
_cell_angle_beta 90.00
_cell_angle_gamma 90.00
loop_
_atom_site_label
_atom_site_fract_x
_atom_site_fract_y
_atom_site_fract_z
Ba1 0.000 0.500 0.250
Si1 0.000 0.000 0.000
Hg1 0.000 0.000 0.326
Au1 0.246 0.246 0.000

Question: The lowest total DFT energy (no corrections) belongs to which entry?
Answer: Y7CuS5

Repeat the second record exactly.
# Sr3Ca2Tl4, relaxed, DFT GGA-PBE
# Total DFT energy (no corrections) = -0.0890 hartree per atom
# ρ = 6287 kg/m3
# N(E_F) = 0.65 states/eV/atom
# Calculated formation energy = -364 meV/atom
# Total moment = 0.0 μB/f.u.
data_Sr3Ca2Tl4
_space_group_name_H-M_alt 'C 1 2/m 1'
_space_group_IT_number 12
_space_group_name_Hall '-C 2y'
_cell_length_a 9.837
_cell_length_b 5.676
_cell_length_c 10.980
_cell_angle_alpha 90.00
_cell_angle_beta 90.02
_cell_angle_gamma 90.00
loop_
_atom_site_label
_atom_site_fract_x
_atom_site_fract_y
_atom_site_fract_z
Sr1 0.000 0.000 0.000
Sr2 0.166 0.500 0.591
Ca1 0.167 0.500 0.207
Tl1 0.001 0.000 0.334
Tl2 0.167 0.500 0.898

Question: Among the records above, which one has the lowest N(E_F)?
Answer: Ba2SiHg2Au4

Question: The highest ρ belongs to which entry?
Answer: TeMoPt2